No. 1
Density functional theory data (PBE) for YNbGa2 after structural relaxation.

Calculated values
- total moment (μB/cell) = 0.00
- energy of formation from the pure elements (eV/f.u.) = -0.47
- uncorrected energy (eV per cell) = -23.05
- energy relative to the lowest polymorph listed for this composition (meV/atom) = 235

a b c (Å): 3.2575 3.2575 9.1787
angles (deg): 79.78 79.78 60.00
Closest atoms and distances in Å follow each position.
Atoms (fractional coordinates):
1 Y 0.5000 0.5000 0.5000  6 Ga 3.06, 6 Y 3.26
2 Nb 0.0000 0.0000 0.0000  6 Ga 2.80
3 Ga 0.7438 0.7438 0.7685  3 Nb 2.80, 3 Y 3.06
4 Ga 0.2562 0.2562 0.2315  3 Nb 2.80, 3 Y 3.06



No. 2
Density functional theory data (PBE) for Dy3ErMg7 after structural relaxation.

Calculated values
- total moment (μB/cell) = 0.00
- energy of formation from the pure elements (eV/f.u.) = 2.22
- uncorrected energy (eV per cell) = -27.31
- energy relative to the lowest polymorph listed for this composition (meV/atom) = 113

a b c (Å): 6.0426 8.4356 8.4356
angles (deg): 74.57 121.12 121.12
Closest atoms and distances in Å follow each position.
Atoms (fractional coordinates):
1 Dy 0.0000 0.8065 0.1935  7 Mg 3.13-3.33
2 Dy 0.5000 0.0000 0.0000  6 Mg 3.20-3.38
3 Dy 0.0000 0.1935 0.8065  7 Mg 3.13-3.33
4 Er 0.5000 0.5000 0.5000  8 Mg 3.02-3.34
5 Mg 0.4520 0.2374 0.2374  5 Mg 2.87-3.16, 2 Dy 3.20
6 Mg 0.3061 0.0548 0.5648  3 Mg 2.93-3.16, 2 Dy 3.20-3.24
7 Mg 0.6939 0.4352 0.9452  3 Mg 2.93-3.16, 2 Dy 3.20-3.24
8 Mg 0.3061 0.5648 0.0548  3 Mg 2.93-3.16, 2 Dy 3.20-3.24
9 Mg 0.0000 0.5000 0.5000  2 Mg 2.87, 2 Er 3.02, 2 Dy 3.13
10 Mg 0.6939 0.9452 0.4352  3 Mg 2.93-3.16, 2 Dy 3.20-3.24
11 Mg 0.5480 0.7626 0.7626  5 Mg 2.87-3.16, 2 Dy 3.20



No. 3
Density functional theory data (PBE) for TcSb2IBr after structural relaxation.

Calculated values
- total moment (μB/cell) = 3.85
- E_form (uncorrected) (eV per atom) = 1.55
- uncorrected energy (eV per cell) = -14.06
- energy relative to the lowest polymorph listed for this composition (meV/atom) = 1320

a b c (Å): 5.5773 5.5773 5.5896
angles (deg): 90.00 90.00 90.00
Closest atoms and distances in Å follow each position.
Atoms (fractional coordinates):
1 I 0.0000 0.0000 0.5000  2 Br 2.79
2 Sb 0.0000 0.5000 0.0000  2 Br 2.79
3 Sb 0.5000 0.0000 0.0000  2 Br 2.79
4 Tc 0.5000 0.5000 0.5000  4 I 3.94, 8 Sb 3.95
5 Br 0.0000 0.0000 0.0000  4 Sb 2.79, 2 I 2.79